1.
First-principles (PBE) data for crystalline Dy8MgTl2 at its relaxed geometry, as listed in Alexandria.

Summary:
- relative energy among the computed polymorphs (eV/atom) = 0.124
- magnetic moment (μB/f.u.) = 0.00
- energy of formation from the pure elements (eV per atom) = -0.010

a b c (Å): 8.8536 15.0240 5.5725
angles (deg): 90.00 114.58 90.00
Last column: nearest neighbours and their distance in Å.
Space group C2/m (No. 12)
Symmetry-distinct sites (fractional):
Dy 0.0000 0.2175 0.0000 x4  2 Tl 3.08, 1 Mg 3.27
Dy 0.1000 0.5000 0.8029 x4  4 Dy 3.09-3.43, 1 Mg 3.24, 2 Tl 3.31
Dy 0.2116 0.1137 0.6132 x8  2 Tl 3.12-3.34, 3 Dy 3.42-3.43
Mg 0.0000 0.0000 0.0000 x2  8 Dy 3.24-3.58
Tl 0.0000 0.3049 0.5000 x4  8 Dy 3.08-3.34

2.
First-principles (PBE) data for crystalline Dy4Mg2Tl at its relaxed geometry, as listed in Alexandria.

Summary:
- relative energy among the computed polymorphs (eV/atom) = 0.000
- magnetic moment (μB/f.u.) = 0.00
- energy of formation from the pure elements (eV per atom) = -0.007

a b c (Å): 7.5081 7.5081 7.4116
angles (deg): 90.00 90.00 90.00
Last column: nearest neighbours and their distance in Å.
Space group I4/mmm (No. 139)
Symmetry-distinct sites (fractional):
Dy 0.2500 0.2500 0.2500 x8  2 Tl 3.24, 4 Mg 3.24
Mg 0.0000 0.5000 0.0000 x4  8 Dy 3.24
Tl 0.0000 0.0000 0.0000 x2  8 Dy 3.24

3.
First-principles (PBE) data for crystalline DyMg2Tl at its relaxed geometry, as listed in Alexandria.

Summary:
- relative energy among the computed polymorphs (eV/atom) = 0.190
- magnetic moment (μB/f.u.) = 0.00
- energy of formation from the pure elements (eV per atom) = -0.024

a b c (Å): 7.3485 7.3485 7.3485
angles (deg): 90.00 90.00 90.00
Last column: nearest neighbours and their distance in Å.
Space group Fm-3m (No. 225)
Symmetry-distinct sites (fractional):
Dy 0.0000 0.0000 0.0000 x4  8 Mg 3.18
Mg 0.2500 0.2500 0.2500 x8  4 Tl 3.18, 4 Dy 3.18
Tl 0.0000 0.0000 0.5000 x4  8 Mg 3.18

4.
First-principles (PBE) data for crystalline Dy2Mg3Tl3 at its relaxed geometry, as listed in Alexandria.

Summary:
- magnetic moment (μB/f.u.) = 0.00
- energy of formation from the pure elements (eV per atom) = -0.234

a b c (Å): 4.8328 4.9149 8.4963
angles (deg): 90.00 90.00 90.00
Last column: nearest neighbours and their distance in Å.
Space group Pmmm (No. 47)
Symmetry-distinct sites (fractional):
Dy 0.0000 0.0000 0.2475 x2  6 Tl 3.20-3.23, 6 Mg 3.26-3.45
Mg 0.0000 0.5000 0.5000 x1  4 Mg 3.21, 4 Dy 3.26, 4 Tl 3.45
Mg 0.5000 0.5000 0.2516 x2  2 Mg 3.21, 6 Tl 3.23-3.26, 4 Dy 3.45
Tl 0.0000 0.5000 0.0000 x1  4 Mg 3.23, 4 Dy 3.23, 4 Tl 3.45
Tl 0.5000 0.0000 0.0000 x1  4 Dy 3.20, 4 Mg 3.26, 4 Tl 3.45
Tl 0.5000 0.0000 0.5000 x1  4 Dy 3.23, 8 Mg 3.24-3.45

5.
First-principles (PBE) data for crystalline DyMg3Tl4 at its relaxed geometry, as listed in Alexandria.

Summary:
- magnetic moment (μB/f.u.) = 0.00
- energy of formation from the pure elements (eV per atom) = -0.137

a b c (Å): 5.0674 5.0674 7.8332
angles (deg): 90.00 90.00 90.00
Last column: nearest neighbours and their distance in Å.
Space group P4/mmm (No. 123)
Symmetry-distinct sites (fractional):
Dy 0.0000 0.0000 0.0000 x1  8 Tl 3.25, 4 Mg 3.58
Mg 0.0000 0.0000 0.5000 x1  8 Tl 3.16
Mg 0.5000 0.5000 0.0000 x1  8 Tl 3.25, 4 Dy 3.58
Mg 0.5000 0.5000 0.5000 x1  8 Tl 3.16
Tl 0.0000 0.5000 0.2599 x4  6 Mg 3.16-3.25, 2 Dy 3.25

6.
First-principles (PBE) data for crystalline DyMgTl2 at its relaxed geometry, as listed in Alexandria.

Summary:
- relative energy among the computed polymorphs (eV/atom) = 0.072
- magnetic moment (μB/f.u.) = 0.00
- energy of formation from the pure elements (eV per atom) = -0.186

a b c (Å): 3.6275 3.6275 7.7652
angles (deg): 90.00 90.00 90.00
Last column: nearest neighbours and their distance in Å.
Space group P4/mmm (No. 123)
Symmetry-distinct sites (fractional):
Dy 0.0000 0.0000 0.0000 x1  8 Tl 3.29, 4 Dy 3.63
Mg 0.0000 0.0000 0.5000 x1  8 Tl 3.15
Tl 0.5000 0.5000 0.2648 x2  4 Mg 3.15, 4 Dy 3.29

7.
First-principles (PBE) data for crystalline DyMg2Tl at its relaxed geometry, as listed in Alexandria.

Summary:
- relative energy among the computed polymorphs (eV/atom) = 0.000
- magnetic moment (μB/f.u.) = 0.00
- energy of formation from the pure elements (eV per atom) = -0.214

a b c (Å): 4.5280 4.5280 4.8329
angles (deg): 90.00 90.00 90.00
Last column: nearest neighbours and their distance in Å.
Space group P4/mmm (No. 123)
Symmetry-distinct sites (fractional):
Dy 0.0000 0.0000 0.0000 x1  4 Tl 3.20, 8 Mg 3.31
Mg 0.0000 0.5000 0.5000 x2  4 Mg 3.20, 4 Tl 3.31, 4 Dy 3.31
Tl 0.5000 0.5000 0.0000 x1  4 Dy 3.20, 8 Mg 3.31

8.
First-principles (PBE) data for crystalline Dy3Mg2Tl at its relaxed geometry, as listed in Alexandria.

Summary:
- magnetic moment (μB/f.u.) = 0.00
- energy of formation from the pure elements (eV per atom) = -0.174

a b c (Å): 3.8115 3.8115 11.2259
angles (deg): 90.00 90.00 90.00
Last column: nearest neighbours and their distance in Å.
Space group P4/mmm (No. 123)
Symmetry-distinct sites (fractional):
Dy 0.0000 0.0000 0.0000 x1  8 Mg 3.26
Dy 0.0000 0.0000 0.3308 x2  4 Mg 3.29, 4 Tl 3.30
Mg 0.5000 0.5000 0.1626 x2  8 Dy 3.26-3.29
Tl 0.5000 0.5000 0.5000 x1  8 Dy 3.30

9.
First-principles (PBE) data for crystalline Dy2MgTl8 at its relaxed geometry, as listed in Alexandria.

Summary:
- magnetic moment (μB/f.u.) = 0.00
- energy of formation from the pure elements (eV per atom) = -0.137

a b c (Å): 5.0246 5.0246 12.0430
angles (deg): 90.00 90.00 90.00
Last column: nearest neighbours and their distance in Å.
Space group P4/mmm (No. 123)
Symmetry-distinct sites (fractional):
Dy 0.0000 0.0000 0.1840 x2  12 Tl 3.31-3.55
Mg 0.0000 0.0000 0.5000 x1  8 Tl 3.01
Tl 0.0000 0.5000 0.0000 x2  8 Tl 3.34-3.55, 4 Dy 3.35
Tl 0.0000 0.5000 0.3627 x4  2 Mg 3.01, 3 Tl 3.31-3.32, 2 Dy 3.31
Tl 0.5000 0.5000 0.1826 x2  8 Tl 3.32-3.34, 4 Dy 3.55

10.
First-principles (PBE) data for crystalline Dy4Mg5Tl2 at its relaxed geometry, as listed in Alexandria.

Summary:
- magnetic moment (μB/f.u.) = 0.00
- energy of formation from the pure elements (eV per atom) = -0.097

a b c (Å): 8.0608 3.5286 10.5178
angles (deg): 90.00 94.13 90.00
Last column: nearest neighbours and their distance in Å.
Space group P2/m (No. 10)
Symmetry-distinct sites (fractional):
Dy 0.1597 0.0000 0.3885 x2  2 Tl 3.19, 8 Mg 3.38-3.52, 2 Dy 3.53
Dy 0.2771 0.0000 0.9445 x2  4 Tl 3.31-3.32, 6 Mg 3.39-3.47, 3 Dy 3.53-3.70
Mg 0.1982 0.5000 0.6628 x2  1 Tl 3.04, 2 Mg 3.07-3.15, 4 Dy 3.38-3.39
Mg 0.4372 0.5000 0.2074 x2  1 Tl 3.05, 2 Mg 3.08-3.15, 2 Dy 3.39
Mg 0.5000 0.5000 0.5000 x1  4 Mg 3.07-3.08, 4 Dy 3.40
Tl 0.0620 0.5000 0.1420 x2  2 Mg 3.04-3.05, 1 Tl 3.08, 6 Dy 3.19-3.32

11.
First-principles (PBE) data for crystalline Dy4MgTl5 at its relaxed geometry, as listed in Alexandria.

Summary:
- magnetic moment (μB/f.u.) = 0.00
- energy of formation from the pure elements (eV per atom) = -0.292

a b c (Å): 3.6441 3.6441 19.9945
angles (deg): 90.00 90.00 90.00
Last column: nearest neighbours and their distance in Å.
Space group P4/mmm (No. 123)
Symmetry-distinct sites (fractional):
Dy 0.0000 0.0000 0.1040 x2  8 Tl 3.30-3.31, 4 Dy 3.64
Dy 0.0000 0.0000 0.3113 x2  8 Tl 3.27-3.31, 4 Dy 3.64
Mg 0.0000 0.0000 0.5000 x1  8 Tl 3.12
Tl 0.5000 0.5000 0.0000 x1  8 Dy 3.31, 4 Tl 3.64
Tl 0.5000 0.5000 0.2075 x2  8 Dy 3.30-3.31, 4 Tl 3.64
Tl 0.5000 0.5000 0.4120 x2  4 Mg 3.12, 4 Dy 3.27

12.
First-principles (PBE) data for crystalline DyMg2Tl3 at its relaxed geometry, as listed in Alexandria.

Summary:
- relative energy among the computed polymorphs (eV/atom) = 0.000
- magnetic moment (μB/f.u.) = 0.00
- energy of formation from the pure elements (eV per atom) = -0.172

a b c (Å): 4.9981 15.1959 4.0286
angles (deg): 90.00 90.00 90.00
Last column: nearest neighbours and their distance in Å.
Space group Cmmm (No. 65)
Symmetry-distinct sites (fractional):
Dy 0.0000 0.0000 0.0000 x2  8 Tl 3.21-3.28, 4 Mg 3.58
Mg 0.0000 0.3312 0.0000 x4  8 Tl 3.17-3.26, 2 Mg 3.51
Tl 0.0000 0.1700 0.5000 x4  6 Mg 3.17-3.21, 2 Dy 3.28, 2 Tl 3.49
Tl 0.0000 0.5000 0.5000 x2  4 Dy 3.21, 4 Mg 3.26, 4 Tl 3.59